VASP calculation (PBE-GGA) on crystalline Rb2PdCBr6 at its relaxed geometry.

Properties
- DOS at the Fermi energy: 0.375 states/eV per atom
- Calculated volume: 27.36 Å³ per atom
- E_tot: -2.961 eV per atom

abc: 7.293 7.293 7.293
angles: 120.16 120.16 89.72
Fractional positions:
Rb1 0.250 0.750 0.500
Rb2 0.750 0.250 0.500
Pd1 0.000 0.000 0.000
C1 0.500 0.500 0.000
Br1 0.256 0.256 0.000
Br2 0.256 0.256 0.512
Br3 0.256 0.744 0.000
Br4 0.744 0.256 0.000
Br5 0.744 0.744 0.000
Br6 0.744 0.744 0.488